The following is a DFT calculation (PBE-GGA) of a geometry-optimized Dy2Ho3Er6 structure.

The energy above the most stable polymorph in this dataset comes out at 267 meV/atom. The magnetic moment is 0.0 Bohr magnetons per cell. As for the density of states at the Fermi level: 33.99 states/eV per cell. The total energy comes out at -4.285 eV per atom. Its formation energy is 0.289 eV per atom. Its theoretical density is 8.47 g cm⁻³.

The space group is I4/mmm (No. 139) and the conventional cell measures 4.6672, 4.6672 and 32.8317 Å, with angles of 90.00, 90.00 and 90.00 degrees. The distinct sites, in fractional coordinates, are Dy at (0.0000, 0.0000, 0.0461), Ho at (0.0000, 0.0000, 0.2994), Ho at (0.0000, 0.0000, 0.5000), Er at (0.0000, 0.0000, 0.1958) and Er at (0.0000, 0.5000, 0.1216).